(1)
Zr2Ge2Rh at its PBEsol-relaxed geometry, computed with SCAN.

```
Zr2Ge2Rh
1.0
6.4140 0.0000 0.0000
0.0000 6.4140 0.0000
0.0000 0.0000 4.1609
Zr Ge Rh
4 4 2
direct
0.1682 0.3318 0.0000
0.3318 0.8318 0.0000
0.6682 0.1682 0.0000
0.8318 0.6682 0.0000
0.1391 0.6391 0.5000
0.3609 0.1391 0.5000
0.6391 0.8609 0.5000
0.8609 0.3609 0.5000
0.0000 0.0000 0.5000
0.5000 0.5000 0.5000
```

formation enthalpy at 0 K = -0.987 eV per atom
DOS at the Fermi energy = 2.5 states/eV/f.u.
symmetry = P4/mbm (127)

(2)
Ge3Ru2 at its PBEsol-relaxed geometry, computed with SCAN.

```
Ge3Ru2
1.0
5.7066 0.0000 0.0000
0.0000 5.7066 0.0000
0.0000 0.0000 9.2155
Ge Ru
12 8
direct
0.1501 0.2827 0.4147
0.1501 0.7173 0.9147
0.2827 0.1501 0.0853
0.2827 0.8499 0.5853
0.3275 0.3275 0.7500
0.3275 0.6725 0.2500
0.6725 0.3275 0.2500
0.6725 0.6725 0.7500
0.7173 0.1501 0.5853
0.7173 0.8499 0.0853
0.8499 0.2827 0.9147
0.8499 0.7173 0.4147
0.0000 0.0000 0.2500
0.0000 0.0000 0.7500
0.0000 0.5000 0.1250
0.0000 0.5000 0.6250
0.5000 0.0000 0.3750
0.5000 0.0000 0.8750
0.5000 0.5000 0.0000
0.5000 0.5000 0.5000
```

formation enthalpy at 0 K = -0.422 eV per atom
symmetry = P-4c2 (116)
distance to the lowest polymorph of the same formula = 0.6 kJ per mole of atoms

(3)
Ge3Ru2 at its PBEsol-relaxed geometry, computed with SCAN.

```
Ge3Ru2
1.0
11.3886 0.0000 0.0000
0.0000 9.2126 0.0000
0.0000 0.0000 5.6939
Ge Ru
24 16
direct
0.0735 0.2173 0.0396
0.0735 0.7827 0.5396
0.1344 0.3979 0.6002
0.1344 0.6021 0.1002
0.1748 0.0668 0.4133
0.1748 0.9332 0.9133
0.3252 0.4332 0.9133
0.3252 0.5668 0.4133
0.3656 0.1021 0.1002
0.3656 0.8979 0.6002
0.4265 0.2827 0.5396
0.4265 0.7173 0.0396
0.5735 0.2827 0.9604
0.5735 0.7173 0.4604
0.6344 0.1021 0.3998
0.6344 0.8979 0.8998
0.6748 0.4332 0.5867
0.6748 0.5668 0.0867
0.8252 0.0668 0.0867
0.8252 0.9332 0.5867
0.8656 0.3979 0.8998
0.8656 0.6021 0.3998
0.9265 0.2173 0.4604
0.9265 0.7827 0.9604
0.0000 0.0444 0.7500
0.0000 0.4270 0.2500
0.0000 0.5730 0.7500
0.0000 0.9556 0.2500
0.2469 0.1871 0.7602
0.2469 0.8129 0.2602
0.2531 0.3129 0.2602
0.2531 0.6871 0.7602
0.5000 0.0730 0.7500
0.5000 0.4556 0.2500
0.5000 0.5444 0.7500
0.5000 0.9270 0.2500
0.7469 0.3129 0.2398
0.7469 0.6871 0.7398
0.7531 0.1871 0.7398
0.7531 0.8129 0.2398
```

formation enthalpy at 0 K = -0.428 eV per atom
symmetry = Pbcn (60)
distance to the lowest polymorph of the same formula = 0.0 kJ per mole of atoms

(4)
GeRu at its PBEsol-relaxed geometry, computed with SCAN.

```
GeRu
1.0
4.8250 0.0000 0.0000
0.0000 4.8250 0.0000
0.0000 0.0000 4.8250
Ge Ru
4 4
direct
0.0874 0.0874 0.0874
0.4126 0.9126 0.5874
0.5874 0.4126 0.9126
0.9126 0.5874 0.4126
0.1201 0.6201 0.8799
0.3799 0.3799 0.3799
0.6201 0.8799 0.1201
0.8799 0.1201 0.6201
```

formation enthalpy at 0 K = -0.363 eV per atom
DOS at the Fermi energy = 0.3 states/eV/f.u.
symmetry = P2_13 (198)

(5)
Ge3RuS at its PBEsol-relaxed geometry, computed with SCAN.

```
Ge3RuS
1.0
4.5427 0.0000 0.0000
0.0000 4.5427 0.0000
0.0000 0.0000 4.5427
Ge Ru S
3 1 1
direct
0.0000 0.0000 0.5000
0.0000 0.5000 0.0000
0.5000 0.0000 0.0000
0.5000 0.5000 0.5000
0.0000 0.0000 0.0000
```

ΔE_f (raw) = 1213 meV per atom
DOS at the Fermi energy = 2.6 states/eV/f.u.
symmetry = Pm-3m (221)

(6)
Sc2Ge2Ru at its PBEsol-relaxed geometry, computed with SCAN.

```
Sc2Ge2Ru
1.0
6.5118 0.0000 0.0000
0.0000 6.5118 0.0000
0.0000 0.0000 3.9673
Sc Ge Ru
4 4 2
direct
0.1726 0.3274 0.0000
0.3274 0.8274 0.0000
0.6726 0.1726 0.0000
0.8274 0.6726 0.0000
0.1353 0.6353 0.5000
0.3647 0.1353 0.5000
0.6353 0.8647 0.5000
0.8647 0.3647 0.5000
0.0000 0.0000 0.5000
0.5000 0.5000 0.5000
```

formation enthalpy at 0 K = -0.896 eV per atom
DOS at the Fermi energy = 2.5 states/eV/f.u.
symmetry = P4/mbm (127)

(7)
ScGe2Ru at its PBEsol-relaxed geometry, computed with SCAN.

```
ScGe2Ru
1.0
9.2221 0.0000 0.0000
0.0000 10.2808 0.0000
0.0000 0.0000 8.0796
Sc Ge Ru
12 24 12
direct
0.1645 0.1778 0.0000
0.1761 0.4502 0.2440
0.1761 0.4502 0.7560
0.3239 0.9502 0.2440
0.3239 0.9502 0.7560
0.3355 0.6778 0.0000
0.6645 0.3222 0.0000
0.6761 0.0498 0.2440
0.6761 0.0498 0.7560
0.8239 0.5498 0.2440
0.8239 0.5498 0.7560
0.8355 0.8222 0.0000
0.0299 0.6191 0.5000
0.0344 0.6164 0.0000
0.1285 0.9004 0.5000
0.1339 0.8971 0.0000
0.1629 0.1792 0.3446
0.1629 0.1792 0.6554
0.3371 0.6792 0.3446
0.3371 0.6792 0.6554
0.3661 0.3971 0.0000
0.3715 0.4004 0.5000
0.4656 0.1164 0.0000
0.4701 0.1191 0.5000
0.5299 0.8809 0.5000
0.5344 0.8836 0.0000
0.6285 0.5996 0.5000
0.6339 0.6029 0.0000
0.6629 0.3208 0.3446
0.6629 0.3208 0.6554
0.8371 0.8208 0.3446
0.8371 0.8208 0.6554
0.8661 0.1029 0.0000
0.8715 0.0996 0.5000
0.9656 0.3836 0.0000
0.9701 0.3809 0.5000
0.0000 0.0000 0.2460
0.0000 0.0000 0.7540
0.0868 0.7382 0.2488
0.0868 0.7382 0.7512
0.4132 0.2382 0.2488
0.4132 0.2382 0.7512
0.5000 0.5000 0.2460
0.5000 0.5000 0.7540
0.5868 0.7618 0.2488
0.5868 0.7618 0.7512
0.9132 0.2618 0.2488
0.9132 0.2618 0.7512
```

formation enthalpy at 0 K = -0.769 eV per atom
DOS at the Fermi energy = 1.8 states/eV/f.u.
symmetry = Pbam (55)

(8)
Sc4Ge6Ru7 at its PBEsol-relaxed geometry, computed with SCAN.

```
Sc4Ge6Ru7
1.0
-4.0265 4.0265 4.0265
4.0265 -4.0265 4.0265
4.0265 4.0265 -4.0265
Sc Ge Ru
4 6 7
direct
0.0000 0.0000 0.5000
0.0000 0.5000 0.0000
0.5000 0.0000 0.0000
0.5000 0.5000 0.5000
0.0000 0.3088 0.3088
0.0000 0.6912 0.6912
0.3088 0.0000 0.3088
0.3088 0.3088 0.0000
0.6912 0.0000 0.6912
0.6912 0.6912 0.0000
0.0000 0.0000 0.0000
0.2500 0.5000 0.7500
0.2500 0.7500 0.5000
0.5000 0.2500 0.7500
0.5000 0.7500 0.2500
0.7500 0.2500 0.5000
0.7500 0.5000 0.2500
```

formation enthalpy at 0 K = -0.735 eV per atom
DOS at the Fermi energy = 14.3 states/eV/f.u.
symmetry = Im-3m (229)

(9)
ScGe3Ru at its PBEsol-relaxed geometry, computed with SCAN.

```
ScGe3Ru
1.0
4.6986 0.0000 0.0000
0.0000 4.6986 0.0000
0.0000 0.0000 4.6986
Sc Ge Ru
1 3 1
direct
0.0000 0.0000 0.0000
0.0000 0.5000 0.5000
0.5000 0.0000 0.5000
0.5000 0.5000 0.0000
0.5000 0.5000 0.5000
```

formation enthalpy at 0 K = 0.175 eV per atom
DOS at the Fermi energy = 4.2 states/eV/f.u.
symmetry = Pm-3m (221)

(10)
SmGe2Ru2 at its PBEsol-relaxed geometry, computed with SCAN.

```
SmGe2Ru2
1.0
-2.1075 2.1075 4.9445
2.1075 -2.1075 4.9445
2.1075 2.1075 -4.9445
Sm Ge Ru
1 2 2
direct
0.0000 0.0000 0.0000
0.3697 0.3697 0.0000
0.6303 0.6303 0.0000
0.2500 0.7500 0.5000
0.7500 0.2500 0.5000
```

formation enthalpy at 0 K = -0.797 eV per atom
DOS at the Fermi energy = 2.5 states/eV/f.u.
symmetry = I4/mmm (139)

(11)
TaSnGe2Ru at its PBEsol-relaxed geometry, computed with SCAN.

```
TaSnGe2Ru
1.0
4.9501 0.0000 0.0000
0.0000 4.9501 0.0000
0.0000 0.0000 4.6805
Ta Sn Ge Ru
1 1 2 1
direct
0.0000 0.0000 0.0000
0.5000 0.5000 0.5000
0.0000 0.5000 0.0000
0.5000 0.0000 0.0000
0.0000 0.0000 0.5000
```

formation enthalpy at 0 K = 0.918 eV per atom
DOS at the Fermi energy = 3.4 states/eV/f.u.
symmetry = P4/mmm (123)

(12)
YTaGe2Ru at its PBEsol-relaxed geometry, computed with SCAN.

```
YTaGe2Ru
1.0
4.8821 0.0000 0.0000
0.0000 4.8821 0.0000
0.0000 0.0000 4.6691
Y Ta Ge Ru
1 1 2 1
direct
0.0000 0.0000 0.0000
0.5000 0.5000 0.5000
0.0000 0.5000 0.5000
0.5000 0.0000 0.5000
0.5000 0.5000 0.0000
```

formation enthalpy at 0 K = 0.295 eV per atom
DOS at the Fermi energy = 3.2 states/eV/f.u.
symmetry = P4/mmm (123)

Number 1: DFT total energy -27.656 eV/atom. Number 2: DFT total energy -25.805 eV/atom. Number 3: DFT total energy -25.811 eV/atom. Number 4: DFT total energy -27.320 eV/atom. Number 5: DFT total energy -19.131 eV/atom. Number 6: DFT total energy -21.192 eV/atom. Number 7: DFT total energy -22.579 eV/atom. Number 8: DFT total energy -25.162 eV/atom. Number 9: DFT total energy -21.090 eV/atom. Number 10: DFT total energy -31.251 eV/atom. Number 11: DFT total energy -34.183 eV/atom. Number 12: DFT total energy -33.190 eV/atom.